1.
This record from Alexandria via LeMat-Bulk describes a relaxed structure of LiAc2Al4Pt3. The functional is PBE. Values from VASP.

Quantum ESPRESSO input file:
```
&SYSTEM
  ibrav = 0, nat = 10, ntyp = 4
/
ATOMIC_SPECIES
Ac 227.00 Ac.upf
Li 6.94 Li.upf
Al 26.98 Al.upf
Pt 195.08 Pt.upf
CELL_PARAMETERS angstrom
-0.4741 -1.7735 4.0616
1.7629 -3.8232 -1.4636
9.5164 3.3953 2.5935
ATOMIC_POSITIONS angstrom
Ac 8.0274 0.6380 1.2157
Ac 2.1334 -0.0410 2.6768
Li 5.4026 -1.1007 2.5957
Al 4.4692 -0.6315 0.2459
Al 0.0000 0.0000 0.0000
Al 5.6917 1.2285 3.6465
Al 0.6444 -2.7983 1.2990
Pt 8.0454 2.0683 4.2880
Pt 2.1155 -1.4713 -0.3955
Pt 4.7582 1.6977 1.2968
```

Computed properties:
Symmetry: P-4m2
Total DFT energy (no corrections), eV per atom: -5.23
Density, g/cm³: 9.2
Energy relative to the elements, eV/atom: -0.903


2.
This record from Alexandria via LeMat-Bulk describes a relaxed structure of LiAc2Al3Pt4. The functional is PBE. Values from VASP.

Quantum ESPRESSO input file:
```
&SYSTEM
  ibrav = 0, nat = 10, ntyp = 4
/
ATOMIC_SPECIES
Ac 227.00 Ac.upf
Pt 195.08 Pt.upf
Al 26.98 Al.upf
Li 6.94 Li.upf
CELL_PARAMETERS angstrom
-0.8137 -1.0254 -4.1886
1.8603 -3.9289 0.6004
-9.4387 -4.0380 2.8222
ATOMIC_POSITIONS angstrom
Ac -2.7689 -1.5232 -1.3880
Ac -6.1465 -4.9919 2.4161
Pt 0.0000 0.0000 0.0000
Pt -6.4248 -3.0872 -0.2949
Pt -2.4906 -3.4279 1.3230
Pt 0.5233 -2.4771 -1.7941
Al -4.7194 -2.0190 1.4111
Al -8.7235 -4.0706 0.3924
Al -0.1920 -2.4445 0.6357
Li -4.1961 -4.4961 -0.3830
```

Computed properties:
Symmetry: P-4m2
Total DFT energy (no corrections), eV per atom: -5.57
Density, g/cm³: 10.7
Energy relative to the elements, eV/atom: -1.020